[1]
Below is a PBEsol-optimized structure of CdFeSe2, with properties calculated at the SCAN level.

CIF file:
```
data_CdFeSe2
_chemical_formula_sum 'Cd2 Fe2 Se4'
_cell_length_a 3.657
_cell_length_b 3.657
_cell_length_c 12.900
_cell_angle_alpha 90.00
_cell_angle_beta 90.00
_cell_angle_gamma 90.00
_space_group_name_H-M_alt 'I -4 m 2'
_space_group_IT_number 119
_space_group_name_Hall 'I -4 -2'
loop_
_atom_site_label
_atom_site_type_symbol
_atom_site_fract_x
_atom_site_fract_y
_atom_site_fract_z
Cd1 Cd 0.000 0.000 0.000
Fe1 Fe 0.000 0.500 0.250
Se1 Se 0.000 0.000 0.500
Se2 Se 0.000 0.500 0.750
```

The uncorrected formation energy comes out at 0.0600 eV per atom. For the total energy, the calculation gives -22.1152 eV/atom. Its crystal system is tetragonal.

=====

[2]
Below is a PBEsol-optimized structure of CdFe3Se, with properties calculated at the SCAN level.

CIF file:
```
data_CdFe3Se
_chemical_formula_sum 'Cd1 Fe3 Se1'
_cell_length_a 4.315
_cell_length_b 4.315
_cell_length_c 4.315
_cell_angle_alpha 90.00
_cell_angle_beta 90.00
_cell_angle_gamma 90.00
_space_group_name_H-M_alt 'P m -3 m'
_space_group_IT_number 221
_space_group_name_Hall '-P 4 2 3'
loop_
_atom_site_label
_atom_site_type_symbol
_atom_site_fract_x
_atom_site_fract_y
_atom_site_fract_z
Cd1 Cd 0.000 0.000 0.000
Fe1 Fe 0.000 0.500 0.500
Se1 Se 0.500 0.500 0.500
```

The uncorrected formation energy comes out at 0.5752 eV per atom. For the total energy, the calculation gives -20.4011 eV/atom. Its crystal system is cubic.

=====

[3]
Below is a PBEsol-optimized structure of CdFeSe2, with properties calculated at the SCAN level.

CIF file:
```
data_CdFeSe2
_chemical_formula_sum 'Cd2 Fe2 Se4'
_cell_length_a 6.581
_cell_length_b 6.623
_cell_length_c 3.358
_cell_angle_alpha 90.00
_cell_angle_beta 90.00
_cell_angle_gamma 90.00
_space_group_name_H-M_alt 'C m m m'
_space_group_IT_number 65
_space_group_name_Hall '-C 2 2'
loop_
_atom_site_label
_atom_site_type_symbol
_atom_site_fract_x
_atom_site_fract_y
_atom_site_fract_z
Cd1 Cd 0.000 0.000 0.000
Fe1 Fe 0.000 0.500 0.000
Se1 Se 0.250 0.250 0.500
```

The uncorrected formation energy comes out at 0.2171 eV per atom. For the total energy, the calculation gives -21.9581 eV/atom. Its crystal system is orthorhombic.

=====

[4]
Below is a PBEsol-optimized structure of CdFeSe2, with properties calculated at the SCAN level.

CIF file:
```
data_CdFeSe2
_chemical_formula_sum 'Cd3 Fe3 Se6'
_cell_length_a 3.2507
_cell_length_b 3.2507
_cell_length_c 26.2505
_cell_angle_alpha 90.00
_cell_angle_beta 90.00
_cell_angle_gamma 120.00
_space_group_name_H-M_alt 'R -3 m'
_space_group_IT_number 166
_space_group_name_Hall '-R 3 2"'
loop_
_atom_site_label
_atom_site_type_symbol
_atom_site_fract_x
_atom_site_fract_y
_atom_site_fract_z
Cd1 Cd 0.0000 0.0000 0.0000
Fe1 Fe 0.0000 0.0000 0.5000
Se1 Se 0.0000 0.0000 0.1124
```

The uncorrected formation energy comes out at -0.1400 eV per atom. For the total energy, the calculation gives -22.3152 eV/atom. Its crystal system is trigonal.

=====

[5]
Below is a PBEsol-optimized structure of CdFeSe2, with properties calculated at the SCAN level.

CIF file:
```
data_CdFeSe2
_chemical_formula_sum 'Cd3 Fe3 Se6'
_cell_length_a 3.0345
_cell_length_b 3.0345
_cell_length_c 27.7296
_cell_angle_alpha 90.00
_cell_angle_beta 90.00
_cell_angle_gamma 120.00
_space_group_name_H-M_alt 'R 3 m'
_space_group_IT_number 160
_space_group_name_Hall 'R 3 -2"'
loop_
_atom_site_label
_atom_site_type_symbol
_atom_site_fract_x
_atom_site_fract_y
_atom_site_fract_z
Cd1 Cd 0.0000 0.0000 0.0000
Fe1 Fe 0.0000 0.0000 0.2571
Se1 Se 0.0000 0.0000 0.5388
Se2 Se 0.0000 0.0000 0.7554
```

The uncorrected formation energy comes out at 0.1253 eV per atom. For the total energy, the calculation gives -22.0498 eV/atom. Its crystal system is trigonal.

=====

[6]
Below is a PBEsol-optimized structure of CdFeSe, with properties calculated at the SCAN level.

CIF file:
```
data_CdFeSe
_chemical_formula_sum 'Cd4 Fe4 Se4'
_cell_length_a 5.997
_cell_length_b 5.997
_cell_length_c 5.997
_cell_angle_alpha 90.00
_cell_angle_beta 90.00
_cell_angle_gamma 90.00
_space_group_name_H-M_alt 'F -4 3 m'
_space_group_IT_number 216
_space_group_name_Hall 'F -4 2 3'
loop_
_atom_site_label
_atom_site_type_symbol
_atom_site_fract_x
_atom_site_fract_y
_atom_site_fract_z
Cd1 Cd 0.000 0.000 0.000
Fe1 Fe 0.250 0.250 0.250
Se1 Se 0.000 0.000 0.500
```

The uncorrected formation energy comes out at 0.2288 eV per atom. For the total energy, the calculation gives -22.6453 eV/atom. Its crystal system is cubic.

=====

[7]
Below is a PBEsol-optimized structure of Cd2FeSe, with properties calculated at the SCAN level.

CIF file:
```
data_Cd2FeSe
_chemical_formula_sum 'Cd4 Fe2 Se2'
_cell_length_a 2.922
_cell_length_b 4.556
_cell_length_c 11.457
_cell_angle_alpha 90.00
_cell_angle_beta 90.00
_cell_angle_gamma 90.00
_space_group_name_H-M_alt 'I m m 2'
_space_group_IT_number 44
loop_
_space_group_symop_operation_xyz
'x,y,z'
'-x,-y,z'
'-x,y,z'
'x,-y,z'
'x+1/2,y+1/2,z+1/2'
'-x+1/2,-y+1/2,z+1/2'
'-x+1/2,y+1/2,z+1/2'
'x+1/2,-y+1/2,z+1/2'
loop_
_atom_site_label
_atom_site_type_symbol
_atom_site_fract_x
_atom_site_fract_y
_atom_site_fract_z
Cd1 Cd 0.000 0.000 0.000
Cd2 Cd 0.000 0.500 0.169
Fe1 Fe 0.000 0.000 0.467
Se1 Se 0.000 0.500 0.814
```

The uncorrected formation energy comes out at 0.0571 eV per atom. For the total energy, the calculation gives -24.7021 eV/atom. Its crystal system is orthorhombic.

=====

[8]
Below is a PBEsol-optimized structure of Cd2FeSi, with properties calculated at the SCAN level.

CIF file:
```
data_Cd2FeSi
_chemical_formula_sum 'Cd4 Fe2 Si2'
_cell_length_a 3.852
_cell_length_b 3.852
_cell_length_c 8.712
_cell_angle_alpha 90.00
_cell_angle_beta 90.00
_cell_angle_gamma 90.00
_space_group_name_H-M_alt 'I 4/m m m'
_space_group_IT_number 139
_space_group_name_Hall '-I 4 2'
loop_
_atom_site_label
_atom_site_type_symbol
_atom_site_fract_x
_atom_site_fract_y
_atom_site_fract_z
Cd1 Cd 0.000 0.500 0.250
Fe1 Fe 0.000 0.000 0.000
Si1 Si 0.000 0.000 0.500
```

The uncorrected formation energy comes out at 0.4136 eV per atom. For the total energy, the calculation gives -21.8300 eV/atom. Its crystal system is tetragonal.